Entry 1:
The following is a PBE calculation of a geometry-optimized PrY2NpAs4 structure, from the Alexandria database.

The structure in extended XYZ format:
```
8
Lattice="7.208 0.000 0.000 0.000 4.162 0.000 -2.394 0.000 6.815" Properties=species:S:1:pos:R:3 pbc="T T T"
Pr 0.000 0.000 0.000
Y 2.407 0.000 3.407
Y 3.604 2.081 0.000
Np -1.197 2.081 3.407
As 0.032 0.000 5.070
As 1.217 2.081 1.770
As 3.597 2.081 5.045
As 4.782 0.000 1.745
```

Values from the calculation:
total DFT energy (no corrections): -7.463 eV/atom
SG: P2/m, No. 10

***

Entry 2:
The following is a PBE calculation of a geometry-optimized Np2AsPt6 structure, from the Alexandria database.

The structure in extended XYZ format:
```
9
Lattice="5.657 0.000 0.000 -2.829 4.899 0.000 0.000 0.000 5.982" Properties=species:S:1:pos:R:3 pbc="T T T"
Np 0.000 3.266 2.081
Np 2.829 1.633 3.900
As 0.000 0.000 2.991
Pt 0.000 1.703 4.859
Pt -1.354 4.048 4.859
Pt 1.475 0.851 1.123
Pt 1.354 4.048 4.859
Pt 4.183 0.851 1.123
Pt 2.829 3.197 1.123
```

Values from the calculation:
total DFT energy (no corrections): -7.953 eV/atom
SG: P-3m1, No. 164

***

Entry 3:
The following is a PBE calculation of a geometry-optimized NpAsPt structure, from the Alexandria database.

The structure in extended XYZ format:
```
3
Lattice="0.000 3.217 3.217 3.217 0.000 3.217 3.217 3.217 0.000" Properties=species:S:1:pos:R:3 pbc="T T T"
Np 0.000 0.000 0.000
As 1.609 1.609 1.609
Pt 3.217 3.217 3.217
```

Values from the calculation:
total DFT energy (no corrections): -8.173 eV/atom
SG: F-43m, No. 216

***

Entry 4:
The following is a PBE calculation of a geometry-optimized NpAs2Pt structure, from the Alexandria database.

The structure in extended XYZ format:
```
4
Lattice="2.541 1.467 3.493 -2.541 1.467 3.493 0.000 -2.934 3.493" Properties=species:S:1:pos:R:3 pbc="T T T"
Np 0.000 0.000 0.000
As 0.000 0.000 2.779
As 0.000 0.000 7.701
Pt 0.000 0.000 5.240
```

Values from the calculation:
total DFT energy (no corrections): -7.376 eV/atom
SG: R-3m, No. 166

***

Entry 5:
The following is a PBE calculation of a geometry-optimized NpAs2Pt structure, from the Alexandria database.

The structure in extended XYZ format:
```
4
Lattice="4.490 0.000 0.000 0.000 4.490 0.000 0.000 0.000 3.676" Properties=species:S:1:pos:R:3 pbc="T T T"
Np 0.000 0.000 0.000
As 0.000 2.245 1.838
As 2.245 0.000 1.838
Pt 2.245 2.245 0.000
```

Values from the calculation:
total DFT energy (no corrections): -7.535 eV/atom
SG: P4/mmm, No. 123

***

Entry 6:
The following is a PBE calculation of a geometry-optimized Np2As4Pt3Rh structure, from the Alexandria database.

The structure in extended XYZ format:
```
10
Lattice="4.384 0.000 0.000 0.000 4.384 0.000 0.000 0.000 9.947" Properties=species:S:1:pos:R:3 pbc="T T T"
Np 0.000 2.192 2.479
Np 2.192 0.000 7.467
As 0.000 0.000 4.973
As 0.000 2.192 8.644
As 2.192 0.000 1.303
As 2.192 2.192 4.973
Pt 0.000 0.000 0.000
Pt 0.000 2.192 6.211
Pt 2.192 0.000 3.736
Rh 2.192 2.192 0.000
```

Values from the calculation:
total DFT energy (no corrections): -7.475 eV/atom
SG: P-4m2, No. 115